Entry 1:
Computed, not measured: a relaxed structure of Pm5Dy2Tm5 at the PBE level of DFT.

abc: 15.101 5.030 11.297
angles: 90.00 116.54 90.00
Space group C2/m (No. 12)
Asymmetric unit:
Pm  0.000  0.000  0.000 (multiplicity 2)
Pm  0.085  0.000  0.751 (multiplicity 4)
Pm  0.166  0.000  0.499 (multiplicity 4)
Dy  0.083  0.500  0.248 (multiplicity 4)
Tm  0.000  0.500  0.500 (multiplicity 2)
Tm  0.168  0.500  0.001 (multiplicity 4)
Tm  0.249  0.000  0.248 (multiplicity 4)

Summary:
**Fermi-level density of states**: 34.5 states/eV per cell
**Density**: 8.2 Mg/m³
**Crystal system**: monoclinic
**Energy of formation from the pure elements**: 0.021 eV/atom


Entry 2:
Computed, not measured: a relaxed structure of HfThPb2 at the PBE level of DFT.

abc: 4.9728 4.9728 15.7475
angles: 90.00 90.00 120.00
Space group R-3m (No. 166, hexagonal axes)
Asymmetric unit:
Hf  0.0000  0.0000  0.0000 (multiplicity 3)
Th  0.0000  0.0000  0.5000 (multiplicity 3)
Pb  0.0000  0.0000  0.2639 (multiplicity 6)

Summary:
**Fermi-level density of states**: 7.9 states/eV per cell
**Density**: 12.2 Mg/m³
**Crystal system**: trigonal
**Energy of formation from the pure elements**: -0.031 eV/atom


Entry 3:
Computed, not measured: a relaxed structure of BaTa2NbTl at the PBE level of DFT.

abc: 5.017 5.017 5.700
angles: 90.00 90.00 90.00
Space group P4/mmm (No. 123)
Asymmetric unit:
Ba  0.000  0.000  0.000 (multiplicity 1)
Ta  0.000  0.500  0.500 (multiplicity 2)
Nb  0.500  0.500  0.500 (multiplicity 1)
Tl  0.500  0.500  0.000 (multiplicity 1)

Summary:
**Fermi-level density of states**: 6.1 states/eV per cell
**Density**: 9.2 Mg/m³
**Crystal system**: tetragonal
**Energy of formation from the pure elements**: 1.002 eV/atom


Entry 4:
Computed, not measured: a relaxed structure of Cs2NaPdPb at the PBE level of DFT.

abc: 6.781 6.781 5.375
angles: 90.00 90.00 90.00
Space group P4/mmm (No. 123)
Asymmetric unit:
Cs  0.000  0.500  0.000 (multiplicity 2)
Na  0.000  0.000  0.500 (multiplicity 1)
Pd  0.500  0.500  0.000 (multiplicity 1)
Pb  0.500  0.500  0.500 (multiplicity 1)

Summary:
**Fermi-level density of states**: 3.4 states/eV per cell
**Density**: 4.0 Mg/m³
**Crystal system**: tetragonal
**Energy of formation from the pure elements**: 0.016 eV/atom